<1>
First-principles (SCAN) data for LiTe3 at its PBEsol-relaxed geometry, as listed in the Alexandria database.

Computed properties:
Density of states at the Fermi level = 0.5707 states/eV/atom
Magnetization = 0.00 μB per cell
SG = P-6m2 (187)
Volume = 107 Å³/cell

Cell lengths 3.9972, 3.9972, 7.7156 Å; angles 90.00, 90.00, 120.00 degrees
With the nearest neighbours (Å) after each atom.
Fractional coordinates of all 4 atoms:
1 Li 0.0000 0.0000 0.0000  6 Te 2.88
2 Te 0.0000 0.0000 0.5000  6 Te 3.15
3 Te 0.3333 0.6667 0.2227  3 Li 2.88, 3 Te 3.15
4 Te 0.3333 0.6667 0.7773  3 Li 2.88, 3 Te 3.15

=====

<2>
First-principles (SCAN) data for LiTe3 at its PBEsol-relaxed geometry, as listed in the Alexandria database.

Computed properties:
Density of states at the Fermi level = 0.5191 states/eV/atom
Magnetization = 0.00 μB per cell
SG = Cmmm (65)
Volume = 103 Å³/cell

Cell lengths 5.3755, 5.3755, 3.5516 Å; angles 90.00, 90.00, 90.09 degrees
With the nearest neighbours (Å) after each atom.
Fractional coordinates of all 4 atoms:
1 Li 0.0000 0.0000 0.0000  8 Te 3.22, 2 Li 3.55
2 Te 0.0000 0.5000 0.5000  6 Te 3.22-3.55, 4 Li 3.22
3 Te 0.5000 0.0000 0.5000  6 Te 3.22-3.55, 4 Li 3.22
4 Te 0.5000 0.5000 0.0000  10 Te 3.22-3.55

=====

Energy ordering: <2> at the bottom, the next structure 1.1 kJ/mol of atoms above.

=====

<1>
First-principles (SCAN) data for LiTe3 at its PBEsol-relaxed geometry, as listed in the Alexandria database.

Computed properties:
Density of states at the Fermi level = 0.1788 states/eV/atom
Magnetization = 0.00 μB per cell
SG = Im-3m (229)
Volume = 111 Å³/cell

Cell lengths 5.2432, 5.2432, 5.2432 Å; angles 109.47, 109.47, 109.47 degrees
With the nearest neighbours (Å) after each atom.
Fractional coordinates of all 4 atoms:
1 Li 0.0000 0.0000 0.0000  6 Te 3.03
2 Te 0.0000 0.5000 0.5000  2 Li 3.03, 4 Te 3.03
3 Te 0.5000 0.0000 0.5000  2 Li 3.03, 4 Te 3.03
4 Te 0.5000 0.5000 0.0000  2 Li 3.03, 4 Te 3.03

=====

<2>
First-principles (SCAN) data for LiTe3 at its PBEsol-relaxed geometry, as listed in the Alexandria database.

Computed properties:
Density of states at the Fermi level = 0.3088 states/eV/atom
Magnetization = 0.00 μB per cell
SG = Immm (71)
Volume = 114 Å³/cell

Cell lengths 6.7737, 6.7737, 6.7737 Å; angles 143.25, 141.88, 53.99 degrees
With the nearest neighbours (Å) after each atom.
Fractional coordinates of all 4 atoms:
1 Li 0.0000 0.0000 0.0000  6 Te 3.06-3.07
2 Te 0.2536 0.2536 0.0000  5 Te 2.97-3.08, 1 Li 3.06
3 Te 0.5000 0.5000 0.0000  2 Te 2.97, 4 Li 3.07
4 Te 0.7464 0.7464 0.0000  5 Te 2.97-3.08, 1 Li 3.06

=====

Energy ordering: <1> at the bottom, the next structure 6.6 kJ/mol of atoms above.

=====

<1>
First-principles (SCAN) data for LiTlTe at its PBEsol-relaxed geometry, as listed in the Alexandria database.

Computed properties:
Magnetization = 0.00 μB per cell
SG = F-43m (216)
Volume = 80 Å³/cell

Cell lengths 4.8408, 4.8408, 4.8408 Å; angles 60.00, 60.00, 60.00 degrees
With the nearest neighbours (Å) after each atom.
Fractional coordinates of all 3 atoms:
1 Li 0.0000 0.0000 0.0000  4 Te 2.96, 4 Tl 2.96
2 Tl 0.2500 0.2500 0.2500  4 Li 2.96
3 Te 0.7500 0.7500 0.7500  4 Li 2.96

=====

<2>
First-principles (SCAN) data for LiTlTe at its PBEsol-relaxed geometry, as listed in the Alexandria database.

Computed properties:
Density of states at the Fermi level = 0.0644 states/eV/atom
Magnetization = 0.00 μB per cell
SG = I4mm (107)
Volume = 83 Å³/cell

Cell lengths 5.4649, 5.4649, 5.4649 Å; angles 134.19, 134.19, 66.79 degrees
With the nearest neighbours (Å) after each atom.
Fractional coordinates of all 3 atoms:
1 Li 0.0000 0.0000 0.0000  1 Tl 2.87, 1 Te 3.10
2 Tl 0.6859 0.6859 0.0000  1 Li 2.87, 1 Te 3.16
3 Te 0.3399 0.3399 0.0000  5 Li 3.10-3.34, 5 Tl 3.16-3.32

=====

Energy ordering: <1> at the bottom, the next structure 13.9 kJ/mol of atoms above.

=====

<1>
First-principles (SCAN) data for LiTl2Te at its PBEsol-relaxed geometry, as listed in the Alexandria database.

Computed properties:
Density of states at the Fermi level = 0.3457 states/eV/atom
Magnetization = 0.00 μB per cell
SG = I4/mmm (139)
Volume = 108 Å³/cell

Cell lengths 6.4239, 6.4239, 6.4239 Å; angles 140.23, 140.23, 57.50 degrees
With the nearest neighbours (Å) after each atom.
Fractional coordinates of all 4 atoms:
1 Li 0.0000 0.0000 0.0000  4 Te 3.09
2 Tl 0.2500 0.7500 0.5000  4 Tl 3.09
3 Tl 0.7500 0.2500 0.5000  4 Tl 3.09
4 Te 0.5000 0.5000 0.0000  4 Li 3.09

=====

<2>
First-principles (SCAN) data for LiTl2Te at its PBEsol-relaxed geometry, as listed in the Alexandria database.

Computed properties:
Density of states at the Fermi level = 0.1369 states/eV/atom
Magnetization = 0.00 μB per cell
SG = I-42d (122)
Volume = 226 Å³/cell

Cell lengths 6.8087, 6.8087, 6.8087 Å; angles 101.52, 101.52, 126.90 degrees
With the nearest neighbours (Å) after each atom.
Fractional coordinates of all 8 atoms:
1 Li 0.0000 0.0000 0.0000  2 Te 3.04, 4 Tl 3.12
2 Li 0.7500 0.2500 0.5000  2 Te 3.04, 4 Tl 3.12
3 Tl 0.1221 0.1250 0.4971  2 Tl 3.04, 2 Li 3.12, 2 Te 3.16
4 Tl 0.3750 0.8779 0.0029  2 Tl 3.04, 2 Li 3.12, 2 Te 3.16
5 Tl 0.6279 0.6250 0.5029  2 Tl 3.04, 2 Li 3.12, 2 Te 3.16
6 Tl 0.8750 0.3721 0.9971  2 Tl 3.04, 2 Li 3.12, 2 Te 3.16
7 Te 0.2500 0.7500 0.5000  2 Li 3.04, 4 Tl 3.16
8 Te 0.5000 0.5000 0.0000  2 Li 3.04, 4 Tl 3.16

=====

Energy ordering: <1> at the bottom, the next structure 1.6 kJ/mol of atoms above.

=====

<1>
First-principles (SCAN) data for Li2ZnTe at its PBEsol-relaxed geometry, as listed in the Alexandria database.

Computed properties:
Density of states at the Fermi level = 0.2065 states/eV/atom
Magnetization = 0.00 μB per cell
SG = F-43m (216)
Volume = 82 Å³/cell

Cell lengths 4.8793, 4.8793, 4.8793 Å; angles 60.00, 60.00, 60.00 degrees
With the nearest neighbours (Å) after each atom.
Fractional coordinates of all 4 atoms:
1 Li 0.0000 0.0000 0.0000  4 Zn 2.99, 4 Li 2.99
2 Li 0.2500 0.2500 0.2500  4 Te 2.99, 4 Li 2.99
3 Zn 0.7500 0.7500 0.7500  4 Te 2.99, 4 Li 2.99
4 Te 0.5000 0.5000 0.5000  4 Li 2.99, 4 Zn 2.99

=====

<2>
First-principles (SCAN) data for Li2ZnTe at its PBEsol-relaxed geometry, as listed in the Alexandria database.

Computed properties:
Density of states at the Fermi level = 0.1742 states/eV/atom
Magnetization = 0.00 μB per cell
SG = Amm2 (38)
Volume = 82 Å³/cell

Cell lengths 4.0605, 5.3996, 5.3996 Å; angles 43.73, 90.00, 90.00 degrees
With the nearest neighbours (Å) after each atom.
Fractional coordinates of all 4 atoms:
1 Li 0.0000 0.0000 0.0000  3 Te 2.82-2.97, 4 Zn 2.88
2 Li 0.5000 0.2703 0.2703  1 Zn 2.63, 4 Te 2.90
3 Zn 0.5000 0.5327 0.5327  5 Li 2.63-2.88, 2 Te 2.75
4 Te 0.0000 0.7184 0.7184  2 Zn 2.75, 7 Li 2.82-2.97

=====

<3>
First-principles (SCAN) data for Li2ZnTe at its PBEsol-relaxed geometry, as listed in the Alexandria database.

Computed properties:
Density of states at the Fermi level = 0.2003 states/eV/atom
Magnetization = 0.00 μB per cell
SG = Pmmm (47)
Volume = 75 Å³/cell

Cell lengths 3.1398, 3.9089, 6.1339 Å; angles 90.00, 90.00, 90.00 degrees
With the nearest neighbours (Å) after each atom.
Fractional coordinates of all 4 atoms:
1 Li 0.0000 0.0000 0.2426  4 Zn 2.92, 4 Te 2.96, 4 Li 2.98-3.16
2 Li 0.0000 0.0000 0.7574  4 Zn 2.92, 4 Te 2.96, 4 Li 2.98-3.16
3 Zn 0.5000 0.5000 0.0000  8 Li 2.92, 2 Te 3.07, 2 Zn 3.14
4 Te 0.5000 0.5000 0.5000  8 Li 2.96, 2 Zn 3.07, 2 Te 3.14

=====

Energy ordering: <2> at the bottom, the next structure 7.6 kJ/mol of atoms above.

=====

<1>
First-principles (SCAN) data for LiZrTi2 at its PBEsol-relaxed geometry, as listed in the Alexandria database.

Computed properties:
Density of states at the Fermi level = 0.8025 states/eV/atom
Magnetization = 5.13 μB per cell
SG = I-42d (122)
Volume = 141 Å³/cell

Cell lengths 10.0683, 10.0683, 10.0683 Å; angles 158.21, 158.21, 31.01 degrees
With the nearest neighbours (Å) after each atom.
Fractional coordinates of all 8 atoms:
1 Li 0.0000 0.0000 0.0000  4 Zr 2.69, 4 Ti 2.77
2 Li 0.7500 0.2500 0.5000  4 Zr 2.69, 4 Ti 2.77
3 Zr 0.2500 0.7500 0.5000  4 Li 2.69, 4 Ti 2.78
4 Zr 0.5000 0.5000 0.0000  4 Li 2.69, 4 Ti 2.78
5 Ti 0.1240 0.6250 0.9990  4 Ti 2.69-2.70, 2 Li 2.77, 2 Zr 2.78
6 Ti 0.3750 0.3740 0.4990  4 Ti 2.69-2.70, 2 Li 2.77, 2 Zr 2.78
7 Ti 0.6260 0.1250 0.0010  4 Ti 2.69-2.70, 2 Li 2.77, 2 Zr 2.78
8 Ti 0.8750 0.8760 0.5010  4 Ti 2.69-2.70, 2 Li 2.77, 2 Zr 2.78

=====

<2>
First-principles (SCAN) data for LiZrTi2 at its PBEsol-relaxed geometry, as listed in the Alexandria database.

Computed properties:
Density of states at the Fermi level = 1.5344 states/eV/atom
Magnetization = 0.00 μB per cell
SG = Fm-3m (225)
Volume = 69 Å³/cell

Cell lengths 4.6124, 4.6124, 4.6124 Å; angles 60.00, 60.00, 60.00 degrees
With the nearest neighbours (Å) after each atom.
Fractional coordinates of all 4 atoms:
1 Li 0.0000 0.0000 0.0000  8 Ti 2.82
2 Zr 0.5000 0.5000 0.5000  8 Ti 2.82
3 Ti 0.2500 0.2500 0.2500  4 Zr 2.82, 4 Li 2.82
4 Ti 0.7500 0.7500 0.7500  4 Zr 2.82, 4 Li 2.82

=====

Energy ordering: <2> at the bottom, the next structure 6.0 kJ/mol of atoms above.

=====

<1>
First-principles (SCAN) data for Li2YTl at its PBEsol-relaxed geometry, as listed in the Alexandria database.

Computed properties:
Density of states at the Fermi level = 0.1654 states/eV/atom
Magnetization = 0.00 μB per cell
SG = Fm-3m (225)
Volume = 77 Å³/cell

Cell lengths 4.7763, 4.7763, 4.7763 Å; angles 60.00, 60.00, 60.00 degrees
With the nearest neighbours (Å) after each atom.
Fractional coordinates of all 4 atoms:
1 Li 0.2500 0.2500 0.2500  4 Tl 2.92, 4 Y 2.92
2 Li 0.7500 0.7500 0.7500  4 Tl 2.92, 4 Y 2.92
3 Y 0.0000 0.0000 0.0000  8 Li 2.92
4 Tl 0.5000 0.5000 0.5000  8 Li 2.92

=====

<2>
First-principles (SCAN) data for Li2YTl at its PBEsol-relaxed geometry, as listed in the Alexandria database.

Computed properties:
Density of states at the Fermi level = 0.7078 states/eV/atom
Magnetization = 0.53 μB per cell
SG = C2/m (12)
Volume = 98 Å³/cell

Cell lengths 6.2656, 6.2656, 3.3197 Å; angles 104.20, 104.20, 120.57 degrees
With the nearest neighbours (Å) after each atom.
Fractional coordinates of all 4 atoms:
1 Li 0.0000 0.5000 0.0000  6 Li 3.11-3.32, 2 Tl 3.17, 2 Y 3.17
2 Li 0.5000 0.0000 0.0000  6 Li 3.11-3.32, 2 Tl 3.17, 2 Y 3.17
3 Y 0.0000 0.0000 0.5000  4 Tl 3.11-3.23, 4 Li 3.17, 2 Y 3.32
4 Tl 0.5000 0.5000 0.5000  4 Y 3.11-3.23, 4 Li 3.17, 2 Tl 3.32

=====

<3>
First-principles (SCAN) data for Li2YTl at its PBEsol-relaxed geometry, as listed in the Alexandria database.

Computed properties:
Density of states at the Fermi level = 0.2996 states/eV/atom
Magnetization = 0.00 μB per cell
SG = F-43m (216)
Volume = 86 Å³/cell

Cell lengths 4.9529, 4.9529, 4.9529 Å; angles 60.00, 60.00, 60.00 degrees
With the nearest neighbours (Å) after each atom.
Fractional coordinates of all 4 atoms:
1 Li 0.0000 0.0000 0.0000  4 Li 3.03, 4 Y 3.03
2 Li 0.2500 0.2500 0.2500  4 Tl 3.03, 4 Li 3.03
3 Y 0.7500 0.7500 0.7500  4 Tl 3.03, 4 Li 3.03
4 Tl 0.5000 0.5000 0.5000  4 Y 3.03, 4 Li 3.03

=====

Energy ordering: <1> at the bottom, the next structure 1.6 kJ/mol of atoms above.

=====

<1>
First-principles (SCAN) data for LiW at its PBEsol-relaxed geometry, as listed in the Alexandria database.

Computed properties:
Density of states at the Fermi level = 0.6391 states/eV/atom
Magnetization = 0.00 μB per cell
SG = R-3m (166)
Volume = 64 Å³/cell

Cell lengths 10.0664, 10.0664, 10.0664 Å; angles 15.57, 15.57, 15.57 degrees
With the nearest neighbours (Å) after each atom.
Fractional coordinates of all 4 atoms:
1 Li 0.1228 0.1228 0.1228  6 Li 2.73, 3 W 2.91
2 Li 0.8772 0.8772 0.8772  6 Li 2.73, 3 W 2.91
3 W 0.3739 0.3739 0.3739  9 W 2.73-2.89, 3 Li 2.91
4 W 0.6261 0.6261 0.6261  9 W 2.73-2.89, 3 Li 2.91

=====

<2>
First-principles (SCAN) data for LiW at its PBEsol-relaxed geometry, as listed in the Alexandria database.

Computed properties:
Density of states at the Fermi level = 0.6876 states/eV/atom
Magnetization = 0.00 μB per cell
SG = Cmcm (63)
Volume = 61 Å³/cell

Cell lengths 5.7938, 5.7938, 4.3057 Å; angles 90.00, 90.00, 154.86 degrees
With the nearest neighbours (Å) after each atom.
Fractional coordinates of all 4 atoms:
1 Li 0.0537 0.9463 0.7500  4 Li 2.47-2.52
2 Li 0.9463 0.0537 0.2500  4 Li 2.47-2.52
3 W 0.3037 0.6963 0.7500  6 W 2.52-2.77
4 W 0.6963 0.3037 0.2500  6 W 2.52-2.77

=====

<3>
First-principles (SCAN) data for LiW at its PBEsol-relaxed geometry, as listed in the Alexandria database.

Computed properties:
Density of states at the Fermi level = 0.7587 states/eV/atom
Magnetization = 0.00 μB per cell
SG = P4/nmm (129)
Volume = 65 Å³/cell

Cell lengths 3.2159, 3.2159, 6.2489 Å; angles 90.00, 90.00, 90.00 degrees
With the nearest neighbours (Å) after each atom.
Fractional coordinates of all 4 atoms:
1 Li 0.2500 0.2500 0.1233  4 Li 2.75, 5 W 2.88-2.94
2 Li 0.7500 0.7500 0.8767  4 Li 2.75, 5 W 2.88-2.94
3 W 0.2500 0.2500 0.5939  4 W 2.56
4 W 0.7500 0.7500 0.4061  4 W 2.56

=====

Energy ordering: <1> at the bottom, the next structure 5.9 kJ/mol of atoms above.